No. 1
# RbHgPbF6 | the Alexandria database | PBE-GGA | relaxed
data_RbHgPbF6
_cell_length_a 6.2711
_cell_length_b 6.2711
_cell_length_c 11.5286
_cell_angle_alpha 90.00
_cell_angle_beta 90.00
_cell_angle_gamma 120.00
_symmetry_space_group_name_H-M 'P -3 1 c'
_symmetry_Int_Tables_number 163
_symmetry_space_group_name_Hall '-P 3 2c'
loop_
_atom_site_label
_atom_site_type_symbol
_atom_site_fract_x
_atom_site_fract_y
_atom_site_fract_z
Rb1 Rb 0.0000 0.0000 0.0000
Hg1 Hg 0.3333 0.6667 0.2500
Pb1 Pb 0.3333 0.6667 0.7500
F1 F 0.0110 0.3793 0.6454
# - Electronic total energy: -68.8 eV per cell
# - M_tot: 0.848 μB/cell


No. 2
# RbHg2PbF8 | the Alexandria database | PBE-GGA | relaxed
data_RbHg2PbF8
_cell_length_a 5.783
_cell_length_b 5.783
_cell_length_c 11.698
_cell_angle_alpha 90.00
_cell_angle_beta 90.00
_cell_angle_gamma 90.00
_symmetry_space_group_name_H-M 'I -4 m 2'
_symmetry_Int_Tables_number 119
_symmetry_space_group_name_Hall 'I -4 -2'
loop_
_atom_site_label
_atom_site_type_symbol
_atom_site_fract_x
_atom_site_fract_y
_atom_site_fract_z
Rb1 Rb 0.000 0.000 0.000
Hg1 Hg 0.000 0.000 0.500
Hg2 Hg 0.000 0.500 0.250
Pb1 Pb 0.000 0.500 0.750
F1 F 0.227 0.239 0.637
# - Electronic total energy: -84.6 eV per cell
# - M_tot: 0.000 μB/cell


No. 3
# ReHgPb2F | the Alexandria database | PBE-GGA | relaxed
data_ReHgPb2F
_cell_length_a 5.296
_cell_length_b 5.296
_cell_length_c 5.250
_cell_angle_alpha 90.00
_cell_angle_beta 90.00
_cell_angle_gamma 90.00
_symmetry_space_group_name_H-M 'P 4/m m m'
_symmetry_Int_Tables_number 123
_symmetry_space_group_name_Hall '-P 4 2'
loop_
_atom_site_label
_atom_site_type_symbol
_atom_site_fract_x
_atom_site_fract_y
_atom_site_fract_z
Re1 Re 0.000 0.000 0.000
Hg1 Hg 0.000 0.000 0.500
Pb1 Pb 0.000 0.500 0.000
F1 F 0.500 0.500 0.500
# - Electronic total energy: -21.2 eV per cell
# - M_tot: 0.000 μB/cell


No. 4
# SiHgPbF6 | the Alexandria database | PBE-GGA | relaxed
data_SiHgPbF6
_cell_length_a 5.366
_cell_length_b 5.396
_cell_length_c 5.747
_cell_angle_alpha 92.65
_cell_angle_beta 95.00
_cell_angle_gamma 100.04
_symmetry_space_group_name_H-M 'P 1'
_symmetry_Int_Tables_number 1
loop_
_symmetry_equiv_pos_as_xyz
'x,y,z'
loop_
_atom_site_label
_atom_site_type_symbol
_atom_site_fract_x
_atom_site_fract_y
_atom_site_fract_z
Si1 Si 0.000 0.000 0.000
Hg1 Hg 0.397 0.610 0.501
Pb1 Pb 0.582 0.417 0.001
F1 F 0.158 0.165 0.795
F2 F 0.286 0.000 0.154
F3 F 0.712 0.031 0.846
F4 F 0.838 0.838 0.205
F5 F 0.979 0.284 0.153
F6 F 0.993 0.720 0.848
# - Electronic total energy: -43.2 eV per cell
# - M_tot: 0.000 μB/cell


No. 5
# SrHg2PbF8 | the Alexandria database | PBE-GGA | relaxed
data_SrHg2PbF8
_cell_length_a 5.790
_cell_length_b 5.790
_cell_length_c 11.539
_cell_angle_alpha 90.00
_cell_angle_beta 90.00
_cell_angle_gamma 90.00
_symmetry_space_group_name_H-M 'I -4'
_symmetry_Int_Tables_number 82
loop_
_symmetry_equiv_pos_as_xyz
'x,y,z'
'y,-x,-z'
'-x,-y,z'
'-y,x,-z'
'x+1/2,y+1/2,z+1/2'
'y+1/2,-x+1/2,-z+1/2'
'-x+1/2,-y+1/2,z+1/2'
'-y+1/2,x+1/2,-z+1/2'
loop_
_atom_site_label
_atom_site_type_symbol
_atom_site_fract_x
_atom_site_fract_y
_atom_site_fract_z
Sr1 Sr 0.000 0.000 0.000
Hg1 Hg 0.000 0.000 0.500
Hg2 Hg 0.000 0.500 0.250
Pb1 Pb 0.000 0.500 0.750
F1 F 0.241 0.253 0.376
F2 F 0.241 0.749 0.376
# - Electronic total energy: -97.2 eV per cell
# - M_tot: 0.000 μB/cell


No. 6
# Sr2HgPbF8 | the Alexandria database | PBE-GGA | relaxed
data_Sr2HgPbF8
_cell_length_a 4.150
_cell_length_b 5.823
_cell_length_c 8.244
_cell_angle_alpha 90.00
_cell_angle_beta 90.00
_cell_angle_gamma 90.00
_symmetry_space_group_name_H-M 'P m m m'
_symmetry_Int_Tables_number 47
loop_
_symmetry_equiv_pos_as_xyz
'x,y,z'
'-x,-y,-z'
'-x,-y,z'
'x,y,-z'
'x,-y,-z'
'-x,y,z'
'-x,y,-z'
'x,-y,z'
loop_
_atom_site_label
_atom_site_type_symbol
_atom_site_fract_x
_atom_site_fract_y
_atom_site_fract_z
Sr1 Sr 0.000 0.000 0.244
Hg1 Hg 0.500 0.500 0.000
Pb1 Pb 0.500 0.500 0.500
F1 F 0.000 0.242 0.500
F2 F 0.000 0.257 0.000
F3 F 0.500 0.251 0.241
# - Electronic total energy: -57.5 eV per cell
# - M_tot: 0.000 μB/cell


No. 7
# SrHgPbF2 | the Alexandria database | PBE-GGA | relaxed
data_SrHgPbF2
_cell_length_a 4.565
_cell_length_b 4.565
_cell_length_c 8.446
_cell_angle_alpha 90.00
_cell_angle_beta 90.00
_cell_angle_gamma 90.00
_symmetry_space_group_name_H-M 'P 4/m m m'
_symmetry_Int_Tables_number 123
_symmetry_space_group_name_Hall '-P 4 2'
loop_
_atom_site_label
_atom_site_type_symbol
_atom_site_fract_x
_atom_site_fract_y
_atom_site_fract_z
Sr1 Sr 0.000 0.000 0.000
Hg1 Hg 0.500 0.500 0.500
Pb1 Pb 0.000 0.000 0.500
F1 F 0.000 0.500 0.000
# - Electronic total energy: -18.7 eV per cell
# - M_tot: 0.000 μB/cell


No. 8
# Tl2HgPbF6 | the Alexandria database | PBE-GGA | relaxed
data_Tl2HgPbF6
_cell_length_a 6.529
_cell_length_b 6.534
_cell_length_c 6.606
_cell_angle_alpha 118.69
_cell_angle_beta 91.16
_cell_angle_gamma 119.44
_symmetry_space_group_name_H-M 'P 1'
_symmetry_Int_Tables_number 1
loop_
_symmetry_equiv_pos_as_xyz
'x,y,z'
loop_
_atom_site_label
_atom_site_type_symbol
_atom_site_fract_x
_atom_site_fract_y
_atom_site_fract_z
Tl1 Tl 0.000 0.000 0.000
Tl2 Tl 0.499 0.957 0.452
Hg1 Hg 0.763 0.492 0.226
Pb1 Pb 0.262 0.491 0.726
F1 F 0.027 0.611 0.564
F2 F 0.073 0.489 0.044
F3 F 0.457 0.492 0.410
F4 F 0.550 0.424 0.890
F5 F 0.577 0.001 0.042
F6 F 0.944 0.985 0.410
# - Electronic total energy: -38.5 eV per cell
# - M_tot: 0.000 μB/cell


No. 9
# Tl2HgPbF | the Alexandria database | PBE-GGA | relaxed
data_Tl2HgPbF
_cell_length_a 5.375
_cell_length_b 5.375
_cell_length_c 5.002
_cell_angle_alpha 90.00
_cell_angle_beta 90.00
_cell_angle_gamma 90.00
_symmetry_space_group_name_H-M 'P 4/m m m'
_symmetry_Int_Tables_number 123
_symmetry_space_group_name_Hall '-P 4 2'
loop_
_atom_site_label
_atom_site_type_symbol
_atom_site_fract_x
_atom_site_fract_y
_atom_site_fract_z
Tl1 Tl 0.000 0.500 0.000
Hg1 Hg 0.000 0.000 0.500
Pb1 Pb 0.500 0.500 0.500
F1 F 0.500 0.500 0.000
# - Electronic total energy: -13.1 eV per cell
# - M_tot: 0.000 μB/cell


No. 10
# TlHgPbF6 | the Alexandria database | PBE-GGA | relaxed
data_TlHgPbF6
_cell_length_a 6.3314
_cell_length_b 6.3314
_cell_length_c 9.6390
_cell_angle_alpha 90.00
_cell_angle_beta 90.00
_cell_angle_gamma 120.00
_symmetry_space_group_name_H-M 'P -3 1 c'
_symmetry_Int_Tables_number 163
_symmetry_space_group_name_Hall '-P 3 2c'
loop_
_atom_site_label
_atom_site_type_symbol
_atom_site_fract_x
_atom_site_fract_y
_atom_site_fract_z
Tl1 Tl 0.0000 0.0000 0.0000
Hg1 Hg 0.3333 0.6667 0.2500
Pb1 Pb 0.3333 0.6667 0.7500
F1 F 0.0130 0.3398 0.1298
# - Electronic total energy: -67.5 eV per cell
# - M_tot: 0.000 μB/cell


No. 11
# TlHgPb2F8 | the Alexandria database | PBE-GGA | relaxed
data_TlHgPb2F8
_cell_length_a 4.155
_cell_length_b 5.838
_cell_length_c 8.344
_cell_angle_alpha 90.00
_cell_angle_beta 90.00
_cell_angle_gamma 90.00
_symmetry_space_group_name_H-M 'P m m m'
_symmetry_Int_Tables_number 47
loop_
_symmetry_equiv_pos_as_xyz
'x,y,z'
'-x,-y,-z'
'-x,-y,z'
'x,y,-z'
'x,-y,-z'
'-x,y,z'
'-x,y,-z'
'x,-y,z'
loop_
_atom_site_label
_atom_site_type_symbol
_atom_site_fract_x
_atom_site_fract_y
_atom_site_fract_z
Tl1 Tl 0.000 0.000 0.000
Hg1 Hg 0.000 0.000 0.500
Pb1 Pb 0.500 0.500 0.257
F1 F 0.000 0.242 0.262
F2 F 0.500 0.232 0.000
F3 F 0.500 0.244 0.500
# - Electronic total energy: -48.9 eV per cell
# - M_tot: 0.000 μB/cell


No. 12
# TmHgPbF6 | the Alexandria database | PBE-GGA | relaxed
data_TmHgPbF6
_cell_length_a 6.2360
_cell_length_b 6.2360
_cell_length_c 10.2541
_cell_angle_alpha 90.00
_cell_angle_beta 90.00
_cell_angle_gamma 120.00
_symmetry_space_group_name_H-M 'P -3 1 c'
_symmetry_Int_Tables_number 163
_symmetry_space_group_name_Hall '-P 3 2c'
loop_
_atom_site_label
_atom_site_type_symbol
_atom_site_fract_x
_atom_site_fract_y
_atom_site_fract_z
Tm1 Tm 0.3333 0.6667 0.2500
Hg1 Hg 0.3333 0.6667 0.7500
Pb1 Pb 0.0000 0.0000 0.0000
F1 F 0.0644 0.3657 0.1311
# - Electronic total energy: -89.1 eV per cell
# - M_tot: 2.067 μB/cell


no.,formation energy (no corrections) (eV/atom)
1,-2.02
2,-1.84
3,0.17
4,-2.50
5,-2.30
6,-2.93
7,-1.86
8,-1.85
9,-0.49
10,-1.80
11,-1.98
12,-2.76